1.
VASP calculation (PBE) on an optimized crystal structure of CoMo2Cl.

a = 2.8344 Å, b = 2.8344 Å, c = 8.0775 Å
α = 90.00°, β = 90.00°, γ = 110.41°
Closest atoms and distances in Å follow each position.
Sites, in units of the cell vectors:
Mo 0.0000 0.0000 0.9849  2 Co 2.44, 2 Mo 2.66
Mo 0.5000 0.5000 0.2460  6 Mo 2.66-2.83, 2 Cl 2.68
Co 0.5000 0.5000 0.7588  2 Mo 2.44, 2 Cl 2.58
Cl 0.0000 0.0000 0.5103  2 Co 2.58, 2 Mo 2.68, 4 Cl 2.83

Computed properties:
N(E_F) (states/eV/cell): 4.76
Formation energy from raw total energies (eV/atom): 0.3804

2.
VASP calculation (PBE) on an optimized crystal structure of NbMoIr2.

a = 3.9355 Å, b = 3.9760 Å, c = 3.9760 Å
α = 90.00°, β = 90.00°, γ = 90.00°
Closest atoms and distances in Å follow each position.
Sites, in units of the cell vectors:
Mo 0.5000 0.5000 0.5000  8 Ir 2.80, 4 Nb 2.81
Ir 0.0000 0.0000 0.5000  4 Nb 2.80, 4 Mo 2.80, 4 Ir 2.81
Ir 0.0000 0.5000 0.0000  4 Nb 2.80, 4 Mo 2.80, 4 Ir 2.81
Nb 0.5000 0.0000 0.0000  8 Ir 2.80, 4 Mo 2.81

Computed properties:
N(E_F) (states/eV/cell): 3.52
Formation enthalpy at 0 K (eV/atom): -0.42

3.
VASP calculation (PBE) on an optimized crystal structure of YZrCoC2.

a = 4.2240 Å, b = 6.0828 Å, c = 4.2240 Å
α = 90.00°, β = 90.00°, γ = 90.00°
Closest atoms and distances in Å follow each position.
Sites, in units of the cell vectors:
Y 0.0000 0.5000 0.0000  4 Co 2.99, 2 Zr 3.04
C 0.0000 0.0000 0.5000  2 Zr 2.11
C 0.5000 0.0000 0.0000  2 Zr 2.11
Co 0.5000 0.5000 0.5000  4 Y 2.99
Zr 0.0000 0.0000 0.0000  4 C 2.11

Computed properties:
N(E_F) (states/eV/cell): 6.23
Formation enthalpy at 0 K (eV/atom): 1.96

4.
VASP calculation (PBE) on an optimized crystal structure of LiTcHgB2.

a = 3.9614 Å, b = 4.0816 Å, c = 3.9614 Å
α = 90.00°, β = 90.00°, γ = 90.00°
Closest atoms and distances in Å follow each position.
Sites, in units of the cell vectors:
B 0.0000 0.0000 0.5000  2 Li 1.98
B 0.5000 0.0000 0.0000  2 Li 1.98
Li 0.0000 0.0000 0.0000  4 B 1.98, 2 Tc 2.04
Hg 0.5000 0.5000 0.5000  4 Tc 2.80, 8 B 2.84
Tc 0.0000 0.5000 0.0000  2 Li 2.04

Computed properties:
N(E_F) (states/eV/cell): 2.57
Formation enthalpy at 0 K (eV/atom): 1.75

5.
VASP calculation (PBE) on an optimized crystal structure of VNi2Sb2.

a = 6.8999 Å, b = 6.8999 Å, c = 3.4773 Å
α = 90.00°, β = 90.00°, γ = 90.00°
Closest atoms and distances in Å follow each position.
Sites, in units of the cell vectors:
Sb 0.1790 0.6790 0.5000  6 Ni 2.60-2.74
Sb 0.6790 0.8210 0.5000  6 Ni 2.60-2.74
Sb 0.8210 0.3210 0.5000  6 Ni 2.60-2.74
Sb 0.3210 0.1790 0.5000  6 Ni 2.60-2.74
Ni 0.3768 0.8768 0.0000  1 Ni 2.40, 2 Sb 2.60
Ni 0.8768 0.6232 0.0000  1 Ni 2.40, 2 Sb 2.60
Ni 0.6232 0.1232 0.0000  1 Ni 2.40, 2 Sb 2.60
Ni 0.1232 0.3768 0.0000  1 Ni 2.40, 2 Sb 2.60
V 0.0000 0.0000 0.0000  4 Ni 2.74
V 0.5000 0.5000 0.0000  4 Ni 2.74

Computed properties:
N(E_F) (states/eV/cell): 11.43
Formation energy from raw total energies (eV/atom): 0.0737

6.
VASP calculation (PBE) on an optimized crystal structure of GaSbTe2Br.

a = 5.3444 Å, b = 5.3444 Å, c = 5.5186 Å
α = 90.00°, β = 90.00°, γ = 90.00°
Closest atoms and distances in Å follow each position.
Sites, in units of the cell vectors:
Sb 0.0000 0.0000 0.5000  2 Ga 2.76
Te 0.0000 0.5000 0.0000  2 Ga 2.67
Te 0.5000 0.0000 0.0000  2 Ga 2.67
Ga 0.0000 0.0000 0.0000  4 Te 2.67, 2 Sb 2.76
Br 0.5000 0.5000 0.5000  4 Sb 3.78, 8 Te 3.84

Computed properties:
N(E_F) (states/eV/cell): 4.45
Formation energy from raw total energies (eV/atom): 0.3871

7.
VASP calculation (PBE) on an optimized crystal structure of UHg3Br6.

a = 8.3623 Å, b = 9.4879 Å, c = 10.1378 Å
α = 90.00°, β = 90.12°, γ = 90.00°
Closest atoms and distances in Å follow each position.
Sites, in units of the cell vectors:
U 0.5000 0.5000 0.5000  6 Br 2.67-2.71
U 0.0000 0.0000 0.0000  6 Br 2.67-2.71
Hg 0.3332 0.9897 0.4999  2 Hg 2.79-2.80
Hg 0.5000 0.5000 0.0000  2 Hg 2.79
Hg 0.6668 0.0103 0.5001  2 Hg 2.79-2.80
Hg 0.8332 0.5103 0.9999  2 Hg 2.79-2.80
Hg 0.0000 0.0000 0.5000  2 Hg 2.79
Hg 0.1668 0.4897 0.0001  2 Hg 2.79-2.80
Br 0.2986 0.9006 0.9996  1 U 2.67
Br 0.4210 0.6892 0.6886  1 U 2.71
Br 0.4202 0.6884 0.3106  1 U 2.71
Br 0.5798 0.3116 0.6894  1 U 2.71
Br 0.5790 0.3108 0.3114  1 U 2.71
Br 0.7014 0.0994 0.0004  1 U 2.67
Br 0.7986 0.5994 0.4996  1 U 2.67
Br 0.9210 0.8108 0.1886  1 U 2.71
Br 0.9202 0.8116 0.8106  1 U 2.71
Br 0.0798 0.1884 0.1894  1 U 2.71
Br 0.0790 0.1892 0.8114  1 U 2.71
Br 0.2014 0.4006 0.5004  1 U 2.67

Computed properties:
N(E_F) (states/eV/cell): 13.96
Formation energy from raw total energies (eV/atom): -0.8316

8.
VASP calculation (PBE) on an optimized crystal structure of LaMgTc2.

a = 5.1476 Å, b = 5.1476 Å, c = 5.5164 Å
α = 69.63°, β = 69.63°, γ = 43.81°
Closest atoms and distances in Å follow each position.
Sites, in units of the cell vectors:
La 0.7500 0.7500 0.7500  6 Tc 3.20-3.34, 4 Mg 3.36
Mg 0.2500 0.2500 0.2500  6 Tc 2.78-2.89
Tc 0.9928 0.9928 0.1283  2 Tc 2.38
Tc 0.5072 0.5072 0.3717  2 Tc 2.38

Computed properties:
N(E_F) (states/eV/cell): 3.06
Formation enthalpy at 0 K (eV/atom): 0.28

9.
VASP calculation (PBE) on an optimized crystal structure of CsSrBr3.

a = 9.3603 Å, b = 10.1525 Å, c = 9.4748 Å
α = 90.00°, β = 90.00°, γ = 90.00°
Closest atoms and distances in Å follow each position.
Sites, in units of the cell vectors:
Cs 0.0000 0.0000 0.5000  6 Br 3.54-3.82
Cs 0.5000 0.5000 0.0000  6 Br 3.54-3.82
Cs 0.5000 0.0000 0.0000  6 Br 3.54-3.82
Cs 0.0000 0.5000 0.5000  6 Br 3.54-3.82
Sr 0.5321 0.2500 0.5528  6 Br 2.99-3.32
Sr 0.9679 0.7500 0.0528  6 Br 2.99-3.32
Sr 0.4679 0.7500 0.4472  6 Br 2.99-3.32
Sr 0.0321 0.2500 0.9472  6 Br 2.99-3.32
Br 0.1221 0.9443 0.8592  2 Sr 3.06-3.32
Br 0.3779 0.4443 0.3592  2 Sr 3.06-3.32
Br 0.3779 0.0557 0.3592  2 Sr 3.06-3.32
Br 0.8779 0.4443 0.1408  2 Sr 3.06-3.32
Br 0.8779 0.0557 0.1408  2 Sr 3.06-3.32
Br 0.6221 0.5557 0.6408  2 Sr 3.06-3.32
Br 0.6221 0.9443 0.6408  2 Sr 3.06-3.32
Br 0.1221 0.5557 0.8592  2 Sr 3.06-3.32
Br 0.3328 0.2500 0.7987  2 Sr 2.99-3.15
Br 0.1672 0.7500 0.2987  2 Sr 2.99-3.15
Br 0.6672 0.7500 0.2013  2 Sr 2.99-3.15
Br 0.8328 0.2500 0.7013  2 Sr 2.99-3.15

Computed properties:
N(E_F) (states/eV/cell): 0.00
Formation energy from raw total energies (eV/atom): -1.9053

10.
VASP calculation (PBE) on an optimized crystal structure of SrTaMo.

a = 3.3174 Å, b = 4.5778 Å, c = 11.0371 Å
α = 94.94°, β = 92.16°, γ = 99.81°
Closest atoms and distances in Å follow each position.
Sites, in units of the cell vectors:
Sr 0.3827 0.1417 0.5139  3 Mo 3.22-3.46, 2 Sr 3.32
Sr 0.9190 0.7172 0.8166  2 Sr 3.32, 3 Ta 3.34-3.55
Mo 0.6466 0.6183 0.2999  1 Ta 2.60, 3 Mo 2.60-2.73
Mo 0.0067 0.1664 0.2427  2 Ta 2.58-2.65, 3 Mo 2.60-2.73
Ta 0.2544 0.7315 0.1063  2 Mo 2.60-2.65, 3 Ta 2.70-2.82
Ta 0.6565 0.2515 0.0389  1 Mo 2.58, 3 Ta 2.70-2.82

Computed properties:
N(E_F) (states/eV/cell): 6.57
Formation enthalpy at 0 K (eV/atom): 0.55

11.
VASP calculation (PBE) on an optimized crystal structure of SbHBr.

a = 4.1473 Å, b = 7.5524 Å, c = 7.7044 Å
α = 108.44°, β = 105.81°, γ = 56.83°
Closest atoms and distances in Å follow each position.
Sites, in units of the cell vectors:
Sb 0.5374 0.7215 0.5155  1 Br 2.60, 2 Sb 2.90
Sb 0.3457 0.4890 0.6671  1 Br 2.60, 2 Sb 2.90
Br 0.5442 0.0023 0.8150  1 Sb 2.60
Br 0.6101 0.2062 0.3686  1 Sb 2.60
H 0.8960 0.6602 0.0840  1 H 0.75
H 0.0170 0.5460 0.0993  1 H 0.75

Computed properties:
VASP energy (eV for the cell shown): -19.6

12.
VASP calculation (PBE) on an optimized crystal structure of BaNa2ZrBr8.

a = 7.0389 Å, b = 6.8886 Å, c = 9.1931 Å
α = 90.02°, β = 90.01°, γ = 91.03°
Closest atoms and distances in Å follow each position.
Sites, in units of the cell vectors:
Ba 0.0000 0.0000 0.5000  6 Br 3.11-3.31
Na 0.5002 0.5003 0.7435  4 Br 2.88-3.14
Na 0.4998 0.4997 0.2565  4 Br 2.88-3.14
Zr 0.0000 0.0000 0.0000  6 Br 2.65-2.67
Br 0.1632 0.7846 0.2042  1 Zr 2.67
Br 0.7029 0.7580 0.0000  1 Zr 2.65
Br 0.8370 0.2156 0.2043  1 Zr 2.67
Br 0.8368 0.2154 0.7958  1 Zr 2.67
Br 0.2971 0.2420 0.0000  1 Zr 2.65
Br 0.1630 0.7844 0.7957  1 Zr 2.67
Br 0.6517 0.7167 0.4999  2 Na 2.88, 1 Ba 3.11
Br 0.3483 0.2833 0.5001  2 Na 2.88, 1 Ba 3.11

Computed properties:
N(E_F) (states/eV/cell): 0.00
Formation energy from raw total energies (eV/atom): -1.5935

13.
VASP calculation (PBE) on an optimized crystal structure of InNi5.

a = 4.4993 Å, b = 4.4993 Å, c = 6.5691 Å
α = 69.45°, β = 69.45°, γ = 37.23°
Closest atoms and distances in Å follow each position.
Sites, in units of the cell vectors:
In 0.9722 0.9722 0.0555  10 Ni 2.64-2.66, 2 In 2.87
Ni 0.3063 0.3063 0.4101  8 Ni 2.40-2.65, 2 In 2.65
Ni 0.6381 0.6381 0.7010  8 Ni 2.40-2.65, 2 In 2.65
Ni 0.6400 0.6400 0.2497  5 Ni 2.45-2.64, 3 In 2.64-2.66
Ni 0.9722 0.9722 0.5555  10 Ni 2.45-2.65
Ni 0.3044 0.3044 0.8614  5 Ni 2.45-2.64, 3 In 2.64-2.66

Computed properties:
N(E_F) (states/eV/cell): 9.74
Formation enthalpy at 0 K (eV/atom): 0.05

14.
VASP calculation (PBE) on an optimized crystal structure of La4CoPt.

a = 7.0315 Å, b = 7.2276 Å, c = 8.5615 Å
α = 109.04°, β = 108.19°, γ = 103.50°
Closest atoms and distances in Å follow each position.
Sites, in units of the cell vectors:
La 0.2849 0.9745 0.5755  1 Co 2.62
La 0.0338 0.7906 0.0744  2 Co 2.88-2.91, 2 Pt 3.03-3.09
La 0.2095 0.3991 0.4245  1 Co 2.62
La 0.4594 0.7162 0.9256  2 Co 2.88-2.91, 2 Pt 3.03-3.09
La 0.7151 0.0255 0.4245  1 Co 2.62
La 0.7905 0.6009 0.5755  1 Co 2.62
La 0.9662 0.2094 0.9256  2 Co 2.88-2.91, 2 Pt 3.03-3.09
La 0.5406 0.2838 0.0744  2 Co 2.88-2.91, 2 Pt 3.03-3.09
Co 0.8423 0.0923 0.1846  6 La 2.62-2.91
Co 0.1577 0.9077 0.8154  6 La 2.62-2.91
Pt 0.3597 0.6097 0.2194  6 La 2.94-3.09
Pt 0.6403 0.3903 0.7806  6 La 2.94-3.09

Computed properties:
N(E_F) (states/eV/cell): 14.06
Formation enthalpy at 0 K (eV/atom): -0.44

15.
VASP calculation (PBE) on an optimized crystal structure of ZrAlAs2.

a = 3.1826 Å, b = 3.1826 Å, c = 8.0159 Å
α = 90.00°, β = 90.00°, γ = 106.89°
Closest atoms and distances in Å follow each position.
Sites, in units of the cell vectors:
As 0.0000 0.0000 0.0054  2 Zr 2.73, 2 Al 2.79
As 0.0000 0.0000 0.4946  2 Zr 2.73, 2 Al 2.79
Al 0.5000 0.5000 0.7500  4 As 2.79
Zr 0.5000 0.5000 0.2500  4 As 2.73

Computed properties:
N(E_F) (states/eV/cell): 1.66
Formation enthalpy at 0 K (eV/atom): -0.30

16.
VASP calculation (PBE) on an optimized crystal structure of Pm2Tm7Sc3.

a = 3.5019 Å, b = 5.5222 Å, c = 18.6119 Å
α = 98.53°, β = 90.00°, γ = 90.00°
Closest atoms and distances in Å follow each position.
Sites, in units of the cell vectors:
Pm 0.0000 0.8519 0.7039  3 Tm 3.06-3.35
Pm 0.0000 0.1481 0.2961  3 Tm 3.06-3.35
Tm 0.0000 0.4114 0.8228  6 Tm 3.34-3.50, 2 Pm 3.52, 2 Sc 3.70
Tm 0.0000 0.7689 0.5377  1 Pm 3.06, 2 Tm 3.09
Tm 0.0000 0.0000 0.0000  6 Tm 3.13-3.50, 4 Sc 3.27
Tm 0.0000 0.5886 0.1772  6 Tm 3.34-3.50, 2 Pm 3.52, 2 Sc 3.70
Tm 0.5000 0.0704 0.1408  8 Tm 3.13-3.50, 2 Pm 3.35
Tm 0.5000 0.9296 0.8592  8 Tm 3.13-3.50, 2 Pm 3.35
Tm 0.0000 0.2311 0.4623  1 Pm 3.06, 2 Tm 3.09
Sc 0.5000 0.5000 0.0000  4 Tm 3.27, 2 Sc 3.50
Sc 0.5000 0.6877 0.3754  6 Tm 3.46-3.64, 2 Sc 3.50, 4 Pm 3.58
Sc 0.5000 0.3123 0.6246  6 Tm 3.46-3.64, 2 Sc 3.50, 4 Pm 3.58

Computed properties:
N(E_F) (states/eV/cell): 17.68
Formation enthalpy at 0 K (eV/atom): 0.17

17.
VASP calculation (PBE) on an optimized crystal structure of BaGa2.

a = 4.4504 Å, b = 5.1632 Å, c = 4.4508 Å
α = 90.00°, β = 120.00°, γ = 90.00°
Closest atoms and distances in Å follow each position.
Sites, in units of the cell vectors:
Ba 0.0000 0.0000 0.0000  12 Ga 3.64-3.65
Ga 0.6666 0.4990 0.3333  3 Ga 2.57
Ga 0.3334 0.5010 0.6667  3 Ga 2.57

Computed properties:
N(E_F) (states/eV/cell): 1.70
Formation enthalpy at 0 K (eV/atom): -0.48

18.
VASP calculation (PBE) on an optimized crystal structure of In5Hg4.

a = 5.5195 Å, b = 7.1603 Å, c = 7.1603 Å
α = 81.46°, β = 67.33°, γ = 67.33°
Closest atoms and distances in Å follow each position.
Sites, in units of the cell vectors:
In 0.5000 0.0000 0.0000  4 Hg 3.12
In 0.1561 0.6622 0.0256  4 Hg 3.09-3.38, 2 In 3.17
In 0.1817 0.9744 0.6622  4 Hg 3.09-3.38, 2 In 3.17
In 0.8183 0.0256 0.3378  4 Hg 3.09-3.38, 2 In 3.17
In 0.8439 0.3378 0.9744  4 Hg 3.09-3.38, 2 In 3.17
Hg 0.1667 0.3211 0.3454  5 In 3.09-3.38, 1 Hg 3.12
Hg 0.5121 0.6546 0.3211  5 In 3.09-3.38, 1 Hg 3.12
Hg 0.4879 0.3454 0.6789  5 In 3.09-3.38, 1 Hg 3.12
Hg 0.8333 0.6789 0.6546  5 In 3.09-3.38, 1 Hg 3.12

Computed properties:
N(E_F) (states/eV/cell): 4.21
Formation enthalpy at 0 K (eV/atom): 0.03

19.
VASP calculation (PBE) on an optimized crystal structure of Sm2AgPt.

a = 4.1862 Å, b = 4.1862 Å, c = 7.5867 Å
α = 73.98°, β = 73.98°, γ = 60.00°
Closest atoms and distances in Å follow each position.
Sites, in units of the cell vectors:
Ag 0.5000 0.5000 0.5000  6 Sm 3.13
Sm 0.2590 0.2590 0.2231  3 Pt 2.90, 3 Ag 3.13
Sm 0.7410 0.7410 0.7769  3 Pt 2.90, 3 Ag 3.13
Pt 0.0000 0.0000 0.0000  6 Sm 2.90

Computed properties:
N(E_F) (states/eV/cell): 2.66
Formation enthalpy at 0 K (eV/atom): -0.63

20.
VASP calculation (PBE) on an optimized crystal structure of PaNbCl.

a = 3.2005 Å, b = 5.9362 Å, c = 7.1876 Å
α = 92.16°, β = 92.79°, γ = 80.28°
Closest atoms and distances in Å follow each position.
Sites, in units of the cell vectors:
Cl 0.6887 0.7424 0.9725  1 Nb 2.62
Cl 0.3113 0.2576 0.0275  1 Nb 2.62
Pa 0.7503 0.3574 0.6907  3 Cl 2.96-2.98, 4 Nb 2.97-3.04, 2 Pa 3.20
Pa 0.2497 0.6426 0.3093  3 Cl 2.96-2.98, 4 Nb 2.97-3.04, 2 Pa 3.20
Nb 0.7164 0.8630 0.6273  1 Cl 2.62, 1 Nb 2.67
Nb 0.2836 0.1370 0.3727  1 Cl 2.62, 1 Nb 2.67

Computed properties:
N(E_F) (states/eV/cell): 7.73
Formation energy from raw total energies (eV/atom): -0.2891

For reference, mass density by record: 7.816, 15.301, 4.025, 8.481, 8.262, 5.547, 5.447, 6.359, 3.395, 7.367, 3.541, 3.404, 9.072, 7.418, 5.729, 7.499, 5.189, 9.486, 9.185, 8.882 Mg/m³.